Sc2CdNi2: relaxed, PBE.

Lattice parameters (Å, degrees): 7.689 7.689 7.689 153.11 153.11 38.40
Element x y z (fractional)
1 Sc 0.122 0.122 0.000
2 Sc 0.878 0.878 0.000
3 Cd 0.500 0.500 0.000
4 Ni 0.250 0.750 0.500
5 Ni 0.750 0.250 0.500

Summary:
As for the formation energy: -0.193 eV per atom. For the volume, the calculation gives 18.57 A^3/atom. Its density of states at the Fermi level is 0.599 states/eV/atom. The total energy is -5.22 eV/atom.

TiBiPCl2: relaxed, PBE.

Lattice parameters (Å, degrees): 5.296 5.296 5.481 90.00 90.00 90.00
Element x y z (fractional)
1 Ti 0.000 0.000 0.000
2 Bi 0.500 0.500 0.500
3 P 0.500 0.500 0.000
4 Cl 0.000 0.500 0.500
5 Cl 0.500 0.000 0.500

Summary:
For the volume, the calculation gives 30.75 A^3/atom. Its density of states at the Fermi level is 0.644 states/eV/atom. The offset from the most stable computed form is 840 meV/atom. The value obtained for the energy relative to the elements, uncorrected is 2.13 eV per formula unit. The total energy is -3.75 eV/atom.

MnTc3Cl: relaxed, PBE.

Lattice parameters (Å, degrees): 4.333 4.333 4.333 90.00 90.00 90.00
Element x y z (fractional)
1 Mn 0.000 0.000 0.000
2 Tc 0.000 0.500 0.500
3 Tc 0.500 0.000 0.500
4 Tc 0.500 0.500 0.000
5 Cl 0.500 0.500 0.500

Summary:
For the volume, the calculation gives 16.27 A^3/atom. Its density of states at the Fermi level is 0.527 states/eV/atom. The offset from the most stable computed form is 0 meV/atom. The value obtained for the energy relative to the elements, uncorrected is 5.30 eV per formula unit. The total energy is -7.36 eV/atom.